# 1
An optimized crystal structure of TbAgHg4. Source: Alexandria, functional GGA-PBE.

Values from the calculation:
The calculated formation energy is -174 meV per atom. For the total magnetization, the calculation gives 0.00 μB/cell. The total energy comes out at -19.5 eV for the cell shown. The value obtained for the relative energy among the computed polymorphs is 5.3 meV/atom. The symmetry is No. 11.

POSCAR file:
```
TbAgHg4
1.0
5.116 0.000 0.000
0.000 8.562 0.000
-0.832 0.000 6.371
Tb Ag Hg
2 2 8
Direct
0.250 0.250 0.001
0.750 0.750 0.999
0.244 0.250 0.502
0.756 0.750 0.498
0.212 0.580 0.751
0.212 0.920 0.751
0.289 0.580 0.259
0.289 0.920 0.259
0.711 0.080 0.741
0.711 0.420 0.741
0.788 0.080 0.249
0.788 0.420 0.249
```



# 2
An optimized crystal structure of SrMnOs2. Source: Alexandria, functional GGA-PBE.

Values from the calculation:
The calculated formation energy is 969 meV per atom. For the total magnetization, the calculation gives 3.08 μB/cell. The total energy comes out at -29.4 eV for the cell shown. The value obtained for the relative energy among the computed polymorphs is 690.8 meV/atom. The symmetry is No. 216.

POSCAR file:
```
SrMnOs2
1.0
0.000 3.272 3.272
3.272 0.000 3.272
3.272 3.272 0.000
Sr Mn Os
1 1 2
Direct
0.000 0.000 0.000
0.750 0.750 0.750
0.250 0.250 0.250
0.500 0.500 0.500
```